Density functional theory data (PBE-GGA) for a relaxed Y2ReP crystal.

Output
Energy of formation ... -0.363 eV/atom
Density ... 8.01 Mg/m³

```
4
Lattice="3.571 0.000 0.000 0.000 3.571 0.000 0.000 0.000 6.425" Properties=species:S:1:pos:R:3 pbc="T T T"
Y 0.000 0.000 1.562
Y 0.000 0.000 4.863
Re 1.785 1.785 3.213
P 1.785 1.785 0.000
```